No. 1
TbHo7Zn4: relaxed, PBE.

Cell lengths 13.8985, 5.5050, 9.6431 Å; angles 90.00, 122.82, 90.00 degrees
Last column: nearest neighbours and their distance in Å.
Space group C2/m (No. 12)
Inequivalent atoms, fractional coordinates:
Tb (0.0000, 0.0000, 0.0000) (multiplicity 2)  2 Ho 2.75
Ho (0.0000, 0.5000, 0.0000) (multiplicity 2)  2 Tb 2.75, 4 Zn 2.83-2.94
Ho (0.0712, 0.0000, 0.4063) (multiplicity 4)  3 Zn 2.98-3.09, 1 Ho 3.33
Ho (0.2093, 0.0000, 0.8803) (multiplicity 4)  4 Zn 3.23-3.46, 6 Ho 3.34-3.55
Ho (0.2232, 0.5000, 0.6735) (multiplicity 4)  4 Zn 2.87-3.10
Zn (0.0410, 0.5000, 0.7314) (multiplicity 4)  1 Zn 2.75, 2 Ho 2.87-2.94
Zn (0.1788, 0.5000, 0.3383) (multiplicity 4)  1 Zn 2.75, 3 Ho 2.83-2.98

ΔE_f = 6 meV per atom
E = -3.475 eV/atom
Magnetization = 0.25 μB/f.u.
ρ = 8.44 Mg/m³

No. 2
Tb2HoZn: relaxed, PBE.

Cell lengths 3.5981, 3.5981, 30.6662 Å; angles 90.00, 90.00, 120.00 degrees
Last column: nearest neighbours and their distance in Å.
Space group R3m (No. 160, hexagonal axes)
Inequivalent atoms, fractional coordinates:
Tb (0.0000, 0.0000, 0.0000) (multiplicity 3)  3 Zn 3.06
Tb (0.0000, 0.0000, 0.1876) (multiplicity 3)  3 Zn 3.04
Ho (0.0000, 0.0000, 0.4273) (multiplicity 3)  6 Tb 3.54-3.55, 6 Ho 3.60
Zn (0.0000, 0.0000, 0.5934) (multiplicity 3)  6 Tb 3.04-3.06

ΔE to the lowest computed polymorph = 0.107 eV per atom
ΔE_f = -51 meV per atom
E = -3.829 eV/atom
Magnetization = 0.16 μB/f.u.
ρ = 7.94 Mg/m³

No. 3
TbHo5Zn6: relaxed, PBE.

Cell lengths 5.0235, 15.0804, 7.1380 Å; angles 90.00, 90.00, 90.00 degrees
Last column: nearest neighbours and their distance in Å.
Space group Cmmm (No. 65)
Inequivalent atoms, fractional coordinates:
Tb (0.0000, 0.0000, 0.0000) (multiplicity 2)  8 Zn 3.09-3.10
Ho (0.0000, 0.0000, 0.5000) (multiplicity 2)  8 Zn 3.08
Ho (0.0000, 0.3328, 0.0000) (multiplicity 4)  8 Zn 3.07-3.09
Ho (0.0000, 0.3339, 0.5000) (multiplicity 4)  8 Zn 3.07
Zn (0.0000, 0.1674, 0.2517) (multiplicity 8)  7 Ho 3.07-3.09, 1 Tb 3.10
Zn (0.0000, 0.5000, 0.2514) (multiplicity 4)  6 Ho 3.07-3.09, 2 Tb 3.09

ΔE_f = -343 meV per atom
E = -3.273 eV/atom
Magnetization = 0.00 μB/f.u.
ρ = 8.45 Mg/m³

No. 4
Tb2Ho3Zn2: relaxed, PBE.

Cell lengths 11.2649, 4.6766, 8.0690 Å; angles 90.00, 116.04, 90.00 degrees
Last column: nearest neighbours and their distance in Å.
Space group C2/m (No. 12)
Inequivalent atoms, fractional coordinates:
Tb (0.1359, 0.0000, 0.2902) (multiplicity 4)  4 Zn 3.15-3.31
Ho (0.0000, 0.5000, 0.5000) (multiplicity 2)  4 Zn 2.89
Ho (0.1334, 0.5000, 0.9602) (multiplicity 4)  1 Zn 2.82
Zn (0.1493, 0.0000, 0.6885) (multiplicity 4)  3 Ho 2.82-2.89, 1 Tb 3.15

ΔE to the lowest computed polymorph = 0.041 eV per atom
ΔE_f = -86 meV per atom
E = -3.735 eV/atom
Magnetization = 0.00 μB/f.u.
ρ = 8.20 Mg/m³

No. 5
Tb4Ho3Zn4: relaxed, PBE.

Cell lengths 5.0907, 6.9198, 16.1756 Å; angles 90.00, 90.00, 90.00 degrees
Last column: nearest neighbours and their distance in Å.
Space group Immm (No. 71)
Inequivalent atoms, fractional coordinates:
Tb (0.0000, 0.2320, 0.1788) (multiplicity 8)  4 Zn 2.94-3.01, 1 Tb 3.21
Ho (0.0000, 0.0000, 0.3993) (multiplicity 4)  1 Ho 3.26, 4 Zn 3.28, 4 Tb 3.39
Ho (0.0000, 0.5000, 0.5000) (multiplicity 2)  2 Zn 2.91
Zn (0.0000, 0.3161, 0.0000) (multiplicity 4)  1 Zn 2.55
Zn (0.0000, 0.5000, 0.3202) (multiplicity 4)  1 Ho 2.91, 6 Tb 2.94-3.01

ΔE_f = -116 meV per atom
E = -3.511 eV/atom
Magnetization = 0.00 μB/f.u.
ρ = 8.11 Mg/m³

No. 6
Tb2Ho2Zn: relaxed, PBE.

Cell lengths 4.9435, 4.9435, 24.3404 Å; angles 90.00, 90.00, 90.00 degrees
Last column: nearest neighbours and their distance in Å.
Space group I4_1/amd (No. 141, origin choice 2)
Inequivalent atoms, fractional coordinates:
Tb (0.0000, 0.2500, 0.0565) (multiplicity 8)  2 Zn 2.98
Ho (0.0000, 0.2500, 0.1996) (multiplicity 8)  2 Zn 3.07
Zn (0.0000, 0.2500, 0.3750) (multiplicity 4)  4 Tb 2.98, 4 Ho 3.07

ΔE to the lowest computed polymorph = 0.137 eV per atom
ΔE_f = 10 meV per atom
E = -3.928 eV/atom
Magnetization = 0.00 μB/f.u.
ρ = 7.96 Mg/m³